Compound: Np2Si2S7
Source: Alexandria
Functional: PBE
Structure: optimized geometry

Values from the calculation:
symmetry	No. 12
formation energy from raw total energies	-0.789	eV per atom
magnetic moment	8.0	μB/f.u.

Lattice parameters (Å, degrees): 5.979 6.976 6.976 101.91 96.89 96.89
Site moments in Bohr magnetons follow the coordinates.
Fractional coordinates of all 11 atoms:
Np  0.000  0.306  0.694  3.89
Np  0.000  0.694  0.306  3.89
Si  0.410  0.225  0.225  0.04
Si  0.590  0.775  0.775  0.04
S  0.773  0.917  0.585  -0.04
S  0.227  0.415  0.083  -0.04
S  0.227  0.083  0.415  -0.04
S  0.773  0.585  0.917  -0.04
S  0.500  0.000  0.000  -0.01
S  0.272  0.613  0.613  -0.06
S  0.728  0.387  0.387  -0.06